<A>
# BaMgHg4 GGA-PBE optimized geometry
data_BaMgHg4
_space_group_name_H-M_alt 'F -4 3 m'
_space_group_IT_number 216
_space_group_name_Hall 'F -4 2 3'
_cell_length_a 8.839
_cell_length_b 8.839
_cell_length_c 8.839
_cell_angle_alpha 90.00
_cell_angle_beta 90.00
_cell_angle_gamma 90.00
loop_
_atom_site_label
_atom_site_type_symbol
_atom_site_fract_x
_atom_site_fract_y
_atom_site_fract_z
Ba1 Ba 0.000 0.000 0.000
Mg1 Mg 0.250 0.250 0.250
Hg1 Hg 0.124 0.124 0.624
# **Theoretical density**: 9.3 g/cm3

***

<B>
# BaMgHg4 GGA-PBE optimized geometry
data_BaMgHg4
_space_group_name_H-M_alt 'P -1'
_space_group_IT_number 2
_space_group_name_Hall '-P 1'
_cell_length_a 9.482
_cell_length_b 9.570
_cell_length_c 9.761
_cell_angle_alpha 115.02
_cell_angle_beta 113.28
_cell_angle_gamma 97.39
loop_
_atom_site_label
_atom_site_type_symbol
_atom_site_fract_x
_atom_site_fract_y
_atom_site_fract_z
Ba1 Ba 0.158 0.267 0.122
Ba2 Ba 0.329 0.811 0.635
Mg1 Mg 0.323 0.425 0.833
Mg2 Mg 0.409 0.744 0.231
Hg1 Hg 0.078 0.556 0.705
Hg2 Hg 0.083 0.116 0.697
Hg3 Hg 0.087 0.234 0.434
Hg4 Hg 0.088 0.639 0.189
Hg5 Hg 0.273 0.923 0.006
Hg6 Hg 0.312 0.030 0.379
Hg7 Hg 0.455 0.434 0.601
Hg8 Hg 0.459 0.233 0.992
# **Theoretical density**: 9.3 g/cm3

***

Most favorable first, least favorable last: <B>, <A>

***

<A>
# Ba3MgHg GGA-PBE optimized geometry
data_Ba3MgHg
_space_group_name_H-M_alt 'A m a 2'
_space_group_IT_number 40
_space_group_name_Hall 'A 2 -2a'
_cell_length_a 6.087
_cell_length_b 23.832
_cell_length_c 6.087
_cell_angle_alpha 90.00
_cell_angle_beta 90.00
_cell_angle_gamma 90.00
loop_
_atom_site_label
_atom_site_type_symbol
_atom_site_fract_x
_atom_site_fract_y
_atom_site_fract_z
Ba1 Ba 0.250 0.073 0.000
Ba2 Ba 0.250 0.250 0.000
Ba3 Ba 0.250 0.426 0.000
Mg1 Mg 0.250 0.341 0.499
Hg1 Hg 0.250 0.157 0.500
# **Theoretical density**: 4.8 g/cm3

***

<B>
# Ba3MgHg GGA-PBE optimized geometry
data_Ba3MgHg
_space_group_name_H-M_alt 'P m -3 m'
_space_group_IT_number 221
_space_group_name_Hall '-P 4 2 3'
_cell_length_a 6.572
_cell_length_b 6.572
_cell_length_c 6.572
_cell_angle_alpha 90.00
_cell_angle_beta 90.00
_cell_angle_gamma 90.00
loop_
_atom_site_label
_atom_site_type_symbol
_atom_site_fract_x
_atom_site_fract_y
_atom_site_fract_z
Ba1 Ba 0.000 0.000 0.500
Mg1 Mg 0.500 0.500 0.500
Hg1 Hg 0.000 0.000 0.000
# **Theoretical density**: 3.7 g/cm3

***

Most favorable first, least favorable last: <A>, <B>

***

<A>
# BaMg4Hg2 GGA-PBE optimized geometry
data_BaMg4Hg2
_space_group_name_H-M_alt 'P 42/m n m'
_space_group_IT_number 136
_space_group_name_Hall '-P 4n 2n'
_cell_length_a 9.022
_cell_length_b 9.022
_cell_length_c 4.604
_cell_angle_alpha 90.00
_cell_angle_beta 90.00
_cell_angle_gamma 90.00
loop_
_atom_site_label
_atom_site_type_symbol
_atom_site_fract_x
_atom_site_fract_y
_atom_site_fract_z
Ba1 Ba 0.000 0.000 0.000
Mg1 Mg 0.086 0.343 0.500
Hg1 Hg 0.215 0.785 0.500
# **Theoretical density**: 5.6 g/cm3

***

<B>
# BaMg4Hg2 GGA-PBE optimized geometry
data_BaMg4Hg2
_space_group_name_H-M_alt 'C m m m'
_space_group_IT_number 65
_space_group_name_Hall '-C 2 2'
_cell_length_a 4.578
_cell_length_b 18.186
_cell_length_c 4.597
_cell_angle_alpha 90.00
_cell_angle_beta 90.00
_cell_angle_gamma 90.00
loop_
_atom_site_label
_atom_site_type_symbol
_atom_site_fract_x
_atom_site_fract_y
_atom_site_fract_z
Ba1 Ba 0.000 0.000 0.000
Mg1 Mg 0.000 0.187 0.500
Mg2 Mg 0.000 0.312 0.000
Hg1 Hg 0.000 0.413 0.500
# **Theoretical density**: 5.5 g/cm3

***

Most favorable first, least favorable last: <A>, <B>

***

<A>
# BaMg2Hg8 GGA-PBE optimized geometry
data_BaMg2Hg8
_space_group_name_H-M_alt 'C 1 2/m 1'
_space_group_IT_number 12
_space_group_name_Hall '-C 2y'
_cell_length_a 16.090
_cell_length_b 6.475
_cell_length_c 5.668
_cell_angle_alpha 90.00
_cell_angle_beta 96.11
_cell_angle_gamma 90.00
loop_
_atom_site_label
_atom_site_type_symbol
_atom_site_fract_x
_atom_site_fract_y
_atom_site_fract_z
Ba1 Ba 0.000 0.000 0.000
Mg1 Mg 0.248 0.500 0.357
Hg1 Hg 0.096 0.500 0.021
Hg2 Hg 0.097 0.256 0.534
Hg3 Hg 0.219 0.000 0.131
# **Theoretical density**: 10.1 g/cm3

***

<B>
# BaMg2Hg8 GGA-PBE optimized geometry
data_BaMg2Hg8
_space_group_name_H-M_alt 'P 4/m m m'
_space_group_IT_number 123
_space_group_name_Hall '-P 4 2'
_cell_length_a 6.571
_cell_length_b 6.571
_cell_length_c 8.540
_cell_angle_alpha 90.00
_cell_angle_beta 90.00
_cell_angle_gamma 90.00
loop_
_atom_site_label
_atom_site_type_symbol
_atom_site_fract_x
_atom_site_fract_y
_atom_site_fract_z
Ba1 Ba 0.000 0.000 0.000
Mg1 Mg 0.000 0.500 0.500
Hg1 Hg 0.266 0.266 0.291
# **Theoretical density**: 8.1 g/cm3

***

Most favorable first, least favorable last: <A>, <B>

***

<A>
# BaMgHg6 GGA-PBE optimized geometry
data_BaMgHg6
_space_group_name_H-M_alt 'P 4/m m m'
_space_group_IT_number 123
_space_group_name_Hall '-P 4 2'
_cell_length_a 4.746
_cell_length_b 4.746
_cell_length_c 10.215
_cell_angle_alpha 90.00
_cell_angle_beta 90.00
_cell_angle_gamma 90.00
loop_
_atom_site_label
_atom_site_type_symbol
_atom_site_fract_x
_atom_site_fract_y
_atom_site_fract_z
Ba1 Ba 0.000 0.000 0.000
Mg1 Mg 0.000 0.000 0.500
Hg1 Hg 0.000 0.500 0.333
Hg2 Hg 0.500 0.500 0.145
# **Theoretical density**: 9.9 g/cm3

***

<B>
# BaMgHg6 GGA-PBE optimized geometry
data_BaMgHg6
_space_group_name_H-M_alt 'R -3 m'
_space_group_IT_number 166
_space_group_name_Hall '-R 3 2"'
_cell_length_a 6.1216
_cell_length_b 6.1216
_cell_length_c 26.9611
_cell_angle_alpha 90.00
_cell_angle_beta 90.00
_cell_angle_gamma 120.00
loop_
_atom_site_label
_atom_site_type_symbol
_atom_site_fract_x
_atom_site_fract_y
_atom_site_fract_z
Ba1 Ba 0.0000 0.0000 0.0000
Mg1 Mg 0.0000 0.0000 0.5000
Hg1 Hg 0.0045 0.5022 0.4431
# **Theoretical density**: 7.8 g/cm3

***

Most favorable first, least favorable last: <A>, <B>

***

<A>
# BaSr2MgHg GGA-PBE optimized geometry
data_BaSr2MgHg
_space_group_name_H-M_alt 'P 4/m m m'
_space_group_IT_number 123
_space_group_name_Hall '-P 4 2'
_cell_length_a 6.308
_cell_length_b 6.308
_cell_length_c 6.436
_cell_angle_alpha 90.00
_cell_angle_beta 90.00
_cell_angle_gamma 90.00
loop_
_atom_site_label
_atom_site_type_symbol
_atom_site_fract_x
_atom_site_fract_y
_atom_site_fract_z
Ba1 Ba 0.000 0.000 0.000
Sr1 Sr 0.000 0.500 0.500
Mg1 Mg 0.500 0.500 0.000
Hg1 Hg 0.000 0.000 0.500
# **Theoretical density**: 3.5 g/cm3

***

<B>
# BaSr2MgHg GGA-PBE optimized geometry
data_BaSr2MgHg
_space_group_name_H-M_alt 'P 4/m m m'
_space_group_IT_number 123
_space_group_name_Hall '-P 4 2'
_cell_length_a 6.341
_cell_length_b 6.341
_cell_length_c 5.548
_cell_angle_alpha 90.00
_cell_angle_beta 90.00
_cell_angle_gamma 90.00
loop_
_atom_site_label
_atom_site_type_symbol
_atom_site_fract_x
_atom_site_fract_y
_atom_site_fract_z
Ba1 Ba 0.000 0.000 0.000
Sr1 Sr 0.000 0.500 0.500
Mg1 Mg 0.500 0.500 0.000
Hg1 Hg 0.500 0.500 0.500
# **Theoretical density**: 4.0 g/cm3

***

Most favorable first, least favorable last: <B>, <A>

***

<A>
# BaMn2Hg2 GGA-PBE optimized geometry
data_BaMn2Hg2
_space_group_name_H-M_alt 'I 4/m m m'
_space_group_IT_number 139
_space_group_name_Hall '-I 4 2'
_cell_length_a 5.091
_cell_length_b 5.091
_cell_length_c 10.314
_cell_angle_alpha 90.00
_cell_angle_beta 90.00
_cell_angle_gamma 90.00
loop_
_atom_site_label
_atom_site_type_symbol
_atom_site_fract_x
_atom_site_fract_y
_atom_site_fract_z
Ba1 Ba 0.000 0.000 0.000
Mn1 Mn 0.000 0.000 0.365
Hg1 Hg 0.000 0.500 0.250
# **Theoretical density**: 8.1 g/cm3

***

<B>
# BaMn2Hg2 GGA-PBE optimized geometry
data_BaMn2Hg2
_space_group_name_H-M_alt 'P 4/m b m'
_space_group_IT_number 127
_space_group_name_Hall '-P 4 2ab'
_cell_length_a 8.498
_cell_length_b 8.498
_cell_length_c 3.217
_cell_angle_alpha 90.00
_cell_angle_beta 90.00
_cell_angle_gamma 90.00
loop_
_atom_site_label
_atom_site_type_symbol
_atom_site_fract_x
_atom_site_fract_y
_atom_site_fract_z
Ba1 Ba 0.000 0.000 0.000
Mn1 Mn 0.119 0.381 0.000
Hg1 Hg 0.170 0.670 0.500
# **Theoretical density**: 9.3 g/cm3

***

Most favorable first, least favorable last: <A>, <B>

***

<A>
# Ba4HgN GGA-PBE optimized geometry
data_Ba4HgN
_space_group_name_H-M_alt 'C 1 2/c 1'
_space_group_IT_number 15
_space_group_name_Hall '-C 2yc'
_cell_length_a 11.010
_cell_length_b 17.767
_cell_length_c 7.786
_cell_angle_alpha 90.00
_cell_angle_beta 134.96
_cell_angle_gamma 90.00
loop_
_atom_site_label
_atom_site_type_symbol
_atom_site_fract_x
_atom_site_fract_y
_atom_site_fract_z
Ba1 Ba 0.148 0.198 0.157
Ba2 Ba 0.241 0.052 0.639
Hg1 Hg 0.000 0.375 0.750
N1 N 0.000 0.125 0.250
# **Theoretical density**: 4.7 g/cm3

***

<B>
# Ba4HgN GGA-PBE optimized geometry
data_Ba4HgN
_space_group_name_H-M_alt 'P 1 21/c 1'
_space_group_IT_number 14
_space_group_name_Hall '-P 2ybc'
_cell_length_a 10.156
_cell_length_b 10.724
_cell_length_c 12.606
_cell_angle_alpha 90.00
_cell_angle_beta 125.40
_cell_angle_gamma 90.00
loop_
_atom_site_label
_atom_site_type_symbol
_atom_site_fract_x
_atom_site_fract_y
_atom_site_fract_z
Ba1 Ba 0.102 0.202 0.377
Ba2 Ba 0.159 0.627 0.490
Ba3 Ba 0.321 0.001 0.757
Ba4 Ba 0.384 0.655 0.899
Hg1 Hg 0.321 0.146 0.219
N1 N 0.189 0.668 0.308
# **Theoretical density**: 4.5 g/cm3

***

Most favorable first, least favorable last: <A>, <B>

***

<A>
# BaHgS2N GGA-PBE optimized geometry
data_BaHgS2N
_space_group_name_H-M_alt 'P 4/m m m'
_space_group_IT_number 123
_space_group_name_Hall '-P 4 2'
_cell_length_a 5.263
_cell_length_b 5.263
_cell_length_c 4.339
_cell_angle_alpha 90.00
_cell_angle_beta 90.00
_cell_angle_gamma 90.00
loop_
_atom_site_label
_atom_site_type_symbol
_atom_site_fract_x
_atom_site_fract_y
_atom_site_fract_z
Ba1 Ba 0.000 0.000 0.000
Hg1 Hg 0.500 0.500 0.500
S1 S 0.000 0.500 0.500
N1 N 0.500 0.500 0.000
# **Theoretical density**: 5.7 g/cm3

***

<B>
# BaHgS2N GGA-PBE optimized geometry
data_BaHgS2N
_space_group_name_H-M_alt 'P 4/m m m'
_space_group_IT_number 123
_space_group_name_Hall '-P 4 2'
_cell_length_a 6.257
_cell_length_b 6.257
_cell_length_c 5.023
_cell_angle_alpha 90.00
_cell_angle_beta 90.00
_cell_angle_gamma 90.00
loop_
_atom_site_label
_atom_site_type_symbol
_atom_site_fract_x
_atom_site_fract_y
_atom_site_fract_z
Ba1 Ba 0.000 0.000 0.000
Hg1 Hg 0.500 0.500 0.500
S1 S 0.000 0.500 0.000
N1 N 0.000 0.000 0.500
# **Theoretical density**: 3.5 g/cm3

***

Most favorable first, least favorable last: <A>, <B>

***

<A>
# BaHgSeN2 GGA-PBE optimized geometry
data_BaHgSeN2
_space_group_name_H-M_alt 'P 4/m m m'
_space_group_IT_number 123
_space_group_name_Hall '-P 4 2'
_cell_length_a 5.247
_cell_length_b 5.247
_cell_length_c 6.630
_cell_angle_alpha 90.00
_cell_angle_beta 90.00
_cell_angle_gamma 90.00
loop_
_atom_site_label
_atom_site_type_symbol
_atom_site_fract_x
_atom_site_fract_y
_atom_site_fract_z
Ba1 Ba 0.000 0.000 0.000
Hg1 Hg 0.500 0.500 0.500
Se1 Se 0.000 0.000 0.500
N1 N 0.000 0.500 0.000
# **Theoretical density**: 4.0 g/cm3

***

<B>
# BaHgSeN2 GGA-PBE optimized geometry
data_BaHgSeN2
_space_group_name_H-M_alt 'P 4/m m m'
_space_group_IT_number 123
_space_group_name_Hall '-P 4 2'
_cell_length_a 4.600
_cell_length_b 4.600
_cell_length_c 5.426
_cell_angle_alpha 90.00
_cell_angle_beta 90.00
_cell_angle_gamma 90.00
loop_
_atom_site_label
_atom_site_type_symbol
_atom_site_fract_x
_atom_site_fract_y
_atom_site_fract_z
Ba1 Ba 0.000 0.000 0.000
Hg1 Hg 0.500 0.500 0.500
Se1 Se 0.500 0.500 0.000
N1 N 0.000 0.500 0.500
# **Theoretical density**: 6.4 g/cm3

***

Most favorable first, least favorable last: <B>, <A>

***

<A>
# Ba4NaHg2 GGA-PBE optimized geometry
data_Ba4NaHg2
_space_group_name_H-M_alt 'R -3 m'
_space_group_IT_number 166
_space_group_name_Hall '-R 3 2"'
_cell_length_a 5.9180
_cell_length_b 5.9180
_cell_length_c 32.3388
_cell_angle_alpha 90.00
_cell_angle_beta 90.00
_cell_angle_gamma 120.00
loop_
_atom_site_label
_atom_site_type_symbol
_atom_site_fract_x
_atom_site_fract_y
_atom_site_fract_z
Ba1 Ba 0.0000 0.0000 0.1128
Ba2 Ba 0.0000 0.0000 0.2958
Na1 Na 0.0000 0.0000 0.5000
Hg1 Hg 0.0000 0.0000 0.4050
# **Theoretical density**: 4.9 g/cm3

***

<B>
# Ba4NaHg2 GGA-PBE optimized geometry
data_Ba4NaHg2
_space_group_name_H-M_alt 'R -3 m'
_space_group_IT_number 166
_space_group_name_Hall '-R 3 2"'
_cell_length_a 6.0674
_cell_length_b 6.0674
_cell_length_c 29.0421
_cell_angle_alpha 90.00
_cell_angle_beta 90.00
_cell_angle_gamma 120.00
loop_
_atom_site_label
_atom_site_type_symbol
_atom_site_fract_x
_atom_site_fract_y
_atom_site_fract_z
Ba1 Ba 0.0000 0.0000 0.1182
Ba2 Ba 0.0000 0.0000 0.3698
Na1 Na 0.0000 0.0000 0.5000
Hg1 Hg 0.0000 0.0000 0.2468
# **Theoretical density**: 5.2 g/cm3

***

Most favorable first, least favorable last: <B>, <A>